Entry 1:
A relaxed structure of SrLiCu, computed with PBE.

Energy relative to the elements = 0.07 eV per atom
E_tot = -2.49 eV per atom
Distance to the lowest polymorph of the same formula = 112.0 meV/atom
Space-group type = No. 107
D(E_F) = 1.08 states/eV/f.u.
Magnetization = 0.000 μB per cell

Geometry as extended XYZ:
```
6
Lattice="3.690 0.000 0.000 0.000 3.690 0.000 0.000 0.000 10.717" Properties=species:S:1:pos:R:3 pbc="T T T"
Sr 0.000 0.000 0.000
Sr 1.845 1.845 5.358
Li 0.000 0.000 3.000
Li 1.845 1.845 8.358
Cu 0.000 0.000 7.360
Cu 1.845 1.845 2.001
```



Entry 2:
A relaxed structure of Sr2LiCu, computed with PBE.

Energy relative to the elements = -0.01 eV per atom
E_tot = -2.35 eV per atom
Space-group type = No. 38
D(E_F) = 2.77 states/eV/f.u.
Magnetization = 0.000 μB per cell

Geometry as extended XYZ:
```
8
Lattice="4.582 0.000 0.000 0.000 4.590 0.000 0.000 0.000 12.299" Properties=species:S:1:pos:R:3 pbc="T T T"
Sr 0.000 0.000 0.000
Sr 0.000 2.295 6.150
Sr 2.291 0.000 3.492
Sr 2.291 2.295 9.642
Li 2.291 0.000 7.251
Li 2.291 2.295 1.101
Cu 0.000 0.000 8.654
Cu 0.000 2.295 2.505
```



Entry 3:
A relaxed structure of SrLi2Cu, computed with PBE.

Energy relative to the elements = 0.07 eV per atom
E_tot = -2.33 eV per atom
Distance to the lowest polymorph of the same formula = 69.2 meV/atom
Space-group type = No. 166
D(E_F) = 2.78 states/eV/f.u.
Magnetization = 0.001 μB per cell

Geometry as extended XYZ:
```
12
Lattice="4.445 0.000 0.000 -2.222 3.849 0.000 0.000 0.000 17.261" Properties=species:S:1:pos:R:3 pbc="T T T"
Sr 0.000 0.000 0.000
Sr 0.000 2.566 11.507
Sr 2.222 1.283 5.754
Li 0.000 0.000 3.433
Li 0.000 0.000 13.829
Li 0.000 2.566 8.075
Li 0.000 2.566 14.940
Li 2.222 1.283 2.321
Li 2.222 1.283 9.186
Cu 0.000 0.000 8.631
Cu 0.000 2.566 2.877
Cu 2.222 1.283 14.384
```



Entry 4:
A relaxed structure of SrLi2Cu, computed with PBE.

Energy relative to the elements = 0.14 eV per atom
E_tot = -2.26 eV per atom
Distance to the lowest polymorph of the same formula = 143.4 meV/atom
Space-group type = No. 122
D(E_F) = 1.66 states/eV/f.u.
Magnetization = 0.000 μB per cell

Geometry as extended XYZ:
```
16
Lattice="4.352 0.000 0.000 0.000 4.352 0.000 0.000 0.000 21.082" Properties=species:S:1:pos:R:3 pbc="T T T"
Sr 0.000 0.000 0.000
Sr 0.000 2.176 5.271
Sr 2.176 0.000 15.812
Sr 2.176 2.176 10.541
Li 0.736 3.264 13.176
Li 1.088 0.736 7.906
Li 1.088 1.440 18.447
Li 1.440 3.264 2.635
Li 2.912 1.088 2.635
Li 3.264 2.912 18.447
Li 3.264 3.616 7.906
Li 3.616 1.088 13.176
Cu 0.000 0.000 10.541
Cu 0.000 2.176 15.812
Cu 2.176 0.000 5.271
Cu 2.176 2.176 0.000
```